Record 1
Compound: HoSi2Ag4
Source: Alexandria via LeMat-Bulk
Functional: PBE
Structure: optimized geometry

Lattice parameters (Å, degrees): 4.0872 4.1410 7.8710 105.25 90.00 90.00
Last column: nearest neighbours and their distance in Å.
Atoms (fractional coordinates):
1 Ho 0.0000 0.0000 0.0000  8 Si 3.12, 8 Ag 3.37-3.42
2 Si 0.5000 0.5749 0.1498  1 Si 2.28
3 Si 0.5000 0.4251 0.8502  1 Si 2.28
4 Ag 0.5000 0.8233 0.6465  2 Si 2.58
5 Ag 0.0000 0.6789 0.3578  2 Si 2.58
6 Ag 0.5000 0.1767 0.3535  2 Si 2.58
7 Ag 0.0000 0.3211 0.6422  2 Si 2.58

Calculated values
Calculated volume, Å³/atom: 18.36
Final energy, eV per atom: -4.072
ρ, g/cm3: 8.4
Space group: No. 65
E_form (uncorrected), eV per atom: -0.239
Total magnetic moment, μB per cell: 0.00

Record 2
Compound: CaTiHg2H
Source: Alexandria via LeMat-Bulk
Functional: PBE
Structure: optimized geometry

Lattice parameters (Å, degrees): 5.6574 3.6247 5.6574 90.00 90.00 90.00
Last column: nearest neighbours and their distance in Å.
Atoms (fractional coordinates):
1 H 0.0000 0.5000 0.0000  2 Ca 1.81
2 Ca 0.0000 0.0000 0.0000  2 H 1.81
3 Hg 0.0000 0.0000 0.5000  2 Ca 2.83
4 Hg 0.5000 0.0000 0.0000  2 Ca 2.83
5 Ti 0.5000 0.5000 0.5000  8 Hg 3.36, 2 Ti 3.62

Calculated values
Calculated volume, Å³/atom: 23.20
Final energy, eV per atom: -2.292
ρ, g/cm3: 7.0
Space group: No. 123
Total magnetic moment, μB per cell: 0.38

Record 3
Compound: SrGd2Sc2O7
Source: Alexandria via LeMat-Bulk
Functional: PBE
Structure: optimized geometry

Lattice parameters (Å, degrees): 10.5492 10.5492 10.5492 157.83 157.83 31.55
Last column: nearest neighbours and their distance in Å.
Atoms (fractional coordinates):
1 Sr 0.5000 0.5000 0.0000  12 O 2.87-3.06
2 Gd 0.6831 0.6831 0.0000  1 O 2.14
3 Gd 0.3169 0.3169 0.0000  1 O 2.14
4 Sc 0.8980 0.8980 0.0000  6 O 2.04-2.22
5 Sc 0.1020 0.1020 0.0000  6 O 2.04-2.22
6 O 0.0000 0.0000 0.0000  2 Sc 2.07
7 O 0.7888 0.7888 0.0000  1 Gd 2.14, 1 Sc 2.22
8 O 0.2112 0.2112 0.0000  1 Gd 2.14, 1 Sc 2.22
9 O 0.8873 0.3873 0.5000  2 Sc 2.04
10 O 0.6127 0.1127 0.5000  2 Sc 2.04
11 O 0.1127 0.6127 0.5000  2 Sc 2.04
12 O 0.3873 0.8873 0.5000  2 Sc 2.04

Calculated values
Calculated volume, Å³/atom: 13.92
Final energy, eV per atom: -9.731
ρ, g/cm3: 6.0
Space group: No. 139
E_form (uncorrected), eV per atom: -3.297
Total magnetic moment, μB per cell: 13.98

Record 4
Compound: MnAl3Re
Source: Alexandria via LeMat-Bulk
Functional: PBE
Structure: optimized geometry

Lattice parameters (Å, degrees): 4.3860 4.3860 4.3860 90.00 90.00 90.00
Last column: nearest neighbours and their distance in Å.
Atoms (fractional coordinates):
1 Re 0.5000 0.5000 0.5000  12 Al 3.10
2 Mn 0.0000 0.0000 0.0000  6 Al 2.19
3 Al 0.0000 0.5000 0.0000  2 Mn 2.19
4 Al 0.0000 0.0000 0.5000  2 Mn 2.19
5 Al 0.5000 0.0000 0.0000  2 Mn 2.19

Calculated values
Calculated volume, Å³/atom: 16.88
Final energy, eV per atom: -5.615
ρ, g/cm3: 6.3
Space group: No. 221
Energy of formation from the pure elements, eV/atom: 0.95
Total magnetic moment, μB per cell: 2.71

Record 5
Compound: CrRuBr
Source: Alexandria via LeMat-Bulk
Functional: PBE
Structure: optimized geometry

Lattice parameters (Å, degrees): 2.9640 2.9640 6.1744 90.00 90.00 120.00
Last column: nearest neighbours and their distance in Å.
Atoms (fractional coordinates):
1 Br 0.0000 0.0000 0.0326  3 Cr 2.55
2 Cr 0.6667 0.3333 0.3383  3 Ru 2.48, 3 Br 2.55
3 Ru 0.3333 0.6667 0.6290  3 Cr 2.48

Calculated values
Calculated volume, Å³/atom: 15.66
Final energy, eV per atom: -6.303
ρ, g/cm3: 8.2
Space group: No. 156
E_form (uncorrected), eV per atom: 0.555
Total magnetic moment, μB per cell: 0.01

Record 6
Compound: TbSmDyHo2
Source: Alexandria via LeMat-Bulk
Functional: PBE
Structure: optimized geometry

Lattice parameters (Å, degrees): 7.1750 8.3735 7.0880 126.21 90.00 90.00
Last column: nearest neighbours and their distance in Å.
Atoms (fractional coordinates):
1 Tb 0.2500 0.9973 0.9947  1 Sm 3.11, 4 Ho 3.16, 1 Dy 3.18
2 Tb 0.7500 0.0027 0.0053  1 Sm 3.11, 4 Ho 3.16, 1 Dy 3.18
3 Sm 0.2500 0.7257 0.4514  1 Tb 3.11
4 Sm 0.7500 0.2743 0.5486  1 Tb 3.11
5 Dy 0.7500 0.7246 0.4491  1 Tb 3.18, 4 Ho 3.51
6 Dy 0.2500 0.2754 0.5509  1 Tb 3.18, 4 Ho 3.51
7 Ho 0.5000 0.3107 0.0000  2 Tb 3.16, 1 Ho 3.17, 2 Dy 3.51, 2 Sm 3.52
8 Ho 0.0000 0.6893 0.0000  2 Tb 3.16, 1 Ho 3.17, 2 Dy 3.51, 2 Sm 3.52
9 Ho 0.5000 0.6893 0.0000  2 Tb 3.16, 1 Ho 3.17, 2 Dy 3.51, 2 Sm 3.52
10 Ho 0.0000 0.3107 0.0000  2 Tb 3.16, 1 Ho 3.17, 2 Dy 3.51, 2 Sm 3.52

Calculated values
Calculated volume, Å³/atom: 34.36
Final energy, eV per atom: -4.228
ρ, g/cm3: 7.7
Space group: No. 63
Energy of formation from the pure elements, eV/atom: 0.39
Total magnetic moment, μB per cell: 0.00

Record 7
Compound: CdBi3Rh4
Source: Alexandria via LeMat-Bulk
Functional: PBE
Structure: optimized geometry

Lattice parameters (Å, degrees): 6.3568 6.3568 6.3568 104.35 94.26 132.69
Last column: nearest neighbours and their distance in Å.
Atoms (fractional coordinates):
1 Cd 0.0269 0.5000 0.5269  4 Rh 2.69-2.75
2 Bi 0.4456 0.2389 0.6844  5 Rh 2.75-3.04
3 Bi 0.1192 0.0000 0.1192  6 Rh 3.04-3.19, 2 Bi 3.38
4 Bi 0.4456 0.7611 0.2067  5 Rh 2.75-3.04
5 Rh 0.7599 0.3095 0.0694  3 Rh 2.72-2.97, 1 Cd 2.75, 3 Bi 2.77-3.04
6 Rh 0.7599 0.6905 0.4504  3 Rh 2.72-2.97, 1 Cd 2.75, 3 Bi 2.77-3.04
7 Rh 0.0362 0.2392 0.7971  4 Rh 2.44-2.72, 1 Cd 2.69
8 Rh 0.5579 0.7608 0.7971  4 Rh 2.44-2.72, 1 Cd 2.69

Calculated values
Calculated volume, Å³/atom: 21.50
Final energy, eV per atom: -5.113
ρ, g/cm3: 11.1
Space group: No. 44
Energy of formation from the pure elements, eV/atom: 0.13
Total magnetic moment, μB per cell: 0.03

Record 8
Compound: Tb2AlOs
Source: Alexandria via LeMat-Bulk
Functional: PBE
Structure: optimized geometry

Lattice parameters (Å, degrees): 3.5044 3.5044 7.1589 90.00 90.00 90.00
Last column: nearest neighbours and their distance in Å.
Atoms (fractional coordinates):
1 Tb 0.0000 0.0000 0.7704  4 Os 2.97, 4 Al 3.14, 1 Tb 3.29
2 Tb 0.0000 0.0000 0.2296  4 Os 2.97, 4 Al 3.14, 1 Tb 3.29
3 Os 0.5000 0.5000 0.0000  8 Tb 2.97
4 Al 0.5000 0.5000 0.5000  8 Tb 3.14, 4 Al 3.50

Calculated values
Calculated volume, Å³/atom: 21.98
Final energy, eV per atom: -6.342
ρ, g/cm3: 10.1
Space group: No. 123
Energy of formation from the pure elements, eV/atom: -0.28
Total magnetic moment, μB per cell: 0.00

Record 9
Compound: BaLi2Pt
Source: Alexandria via LeMat-Bulk
Functional: PBE
Structure: optimized geometry

Lattice parameters (Å, degrees): 4.3953 6.1068 4.3972 69.39 88.72 110.60
Last column: nearest neighbours and their distance in Å.
Atoms (fractional coordinates):
1 Ba 0.5000 0.5000 0.0000  4 Li 3.07, 4 Pt 3.07-3.14
2 Li 0.0000 0.0000 0.0000  2 Pt 3.07, 2 Ba 3.07, 4 Li 3.07-3.14
3 Li 0.5000 0.0000 0.5000  2 Ba 3.07, 2 Pt 3.07, 4 Li 3.07-3.14
4 Pt 0.0000 0.5000 0.5000  4 Li 3.07, 4 Ba 3.07-3.14

Calculated values
Calculated volume, Å³/atom: 25.49
Final energy, eV per atom: -3.100
ρ, g/cm3: 5.6
Space group: No. 69
Energy of formation from the pure elements, eV/atom: -0.15
Total magnetic moment, μB per cell: 0.00

Record 10
Compound: PaTi2Fe
Source: Alexandria via LeMat-Bulk
Functional: PBE
Structure: optimized geometry

Lattice parameters (Å, degrees): 2.9927 2.9927 7.6286 90.00 90.00 90.00
Last column: nearest neighbours and their distance in Å.
Atoms (fractional coordinates):
1 Pa 0.5000 0.5000 0.5000  4 Pa 2.99, 8 Ti 3.17
2 Fe 0.5000 0.5000 0.0000  8 Ti 2.57
3 Ti 0.0000 0.0000 0.8098  4 Fe 2.57
4 Ti 0.0000 0.0000 0.1902  4 Fe 2.57

Calculated values
Calculated volume, Å³/atom: 17.08
Final energy, eV per atom: -8.518
ρ, g/cm3: 9.3
Space group: No. 123
Energy of formation from the pure elements, eV/atom: -0.08
Total magnetic moment, μB per cell: 0.84

Record 11
Compound: BeAsN2O
Source: Alexandria via LeMat-Bulk
Functional: PBE
Structure: optimized geometry

Lattice parameters (Å, degrees): 3.7089 3.7089 3.6821 90.00 90.00 90.00
Last column: nearest neighbours and their distance in Å.
Atoms (fractional coordinates):
1 Be 0.5000 0.5000 0.5000  8 N 2.61, 4 O 2.62
2 As 0.0000 0.0000 0.0000  2 O 1.84, 4 N 1.85
3 O 0.0000 0.0000 0.5000  2 As 1.84
4 N 0.0000 0.5000 0.0000  2 As 1.85
5 N 0.5000 0.0000 0.0000  2 As 1.85

Calculated values
Calculated volume, Å³/atom: 10.13
Final energy, eV per atom: -4.971
ρ, g/cm3: 4.2
Space group: No. 123
E_form (uncorrected), eV per atom: 1.026
Total magnetic moment, μB per cell: 0.65

Record 12
Compound: Co2SiTc
Source: Alexandria via LeMat-Bulk
Functional: PBE
Structure: optimized geometry

Lattice parameters (Å, degrees): 8.0751 8.0751 8.0751 19.02 19.02 19.02
Last column: nearest neighbours and their distance in Å.
Atoms (fractional coordinates):
1 Co 0.9972 0.9972 0.9972  9 Co 2.52-2.67, 3 Tc 2.58
2 Co 0.2464 0.2464 0.2464  3 Si 2.34, 3 Co 2.52
3 Si 0.5056 0.5056 0.5056  3 Co 2.34, 3 Tc 2.60
4 Tc 0.7508 0.7508 0.7508  3 Co 2.58, 3 Si 2.60, 6 Tc 2.67

Calculated values
Calculated volume, Å³/atom: 12.22
Final energy, eV per atom: -7.508
ρ, g/cm3: 8.3
Space group: No. 160
E_form (uncorrected), eV per atom: -0.008
Total magnetic moment, μB per cell: 1.95